1.
Below is a relaxed structure of ScPaCo, with properties calculated at the GGA-PBE level.

Its formation energy is 107 meV per atom. As for the energy above the most stable polymorph in this dataset: 263 meV/atom. For the density of states at the Fermi level, the calculation gives 4.3 states/eV per cell. The calculation puts the final energy at -22.61 eV/cell. The total moment is 0.3 μB/f.u.

The structure belongs to space group P3m1 (No. 156); the cell edges are 4.5488, 4.5488 and 3.1305 Å and the angles 90.00°, 90.00° and 120.00°. The inequivalent atoms are Sc at (0.0000, 0.0000, 0.0000), Pa at (0.6667, 0.3333, 0.3921) and Co at (0.3333, 0.6667, 0.6570).


2.
Below is a relaxed structure of KBaLiPb, with properties calculated at the GGA-PBE level.

Its formation energy is -247 meV per atom. For the density of states at the Fermi level, the calculation gives 0.2 states/eV per cell. The calculation puts the final energy at -38.53 eV/cell. The total moment is 0.0 μB/f.u.

The structure belongs to space group F-43m (No. 216); the cell edges are 8.2178, 8.2178 and 8.2178 Å and the angles 90.00°, 90.00° and 90.00°. The inequivalent atoms are K at (0.0000, 0.0000, 0.0000), Ba at (0.2500, 0.2500, 0.7500), Li at (0.2500, 0.2500, 0.2500) and Pb at (0.0000, 0.0000, 0.5000).


3.
Below is a relaxed structure of CeEr4Te6, with properties calculated at the GGA-PBE level.

The uncorrected formation energy comes out at -1.3195 eV per atom. For the density of states at the Fermi level, the calculation gives 43.5 states/eV per cell. The calculation puts the final energy at -230.20 eV/cell. The total moment is 1.2 μB/f.u.

The structure belongs to space group Cmcm (No. 63); the cell edges are 4.2982, 14.2062 and 22.1068 Å and the angles 90.00°, 90.00° and 90.00°. The inequivalent atoms are Ce at (0.0000, 0.1546, 0.2500), Er at (0.0000, 0.0905, 0.6243), Er at (0.0000, 0.3556, 0.5353), Te at (0.0000, 0.0000, 0.0000), Te at (0.0000, 0.1787, 0.7500), Te at (0.0000, 0.2655, 0.0930) and Te at (0.0000, 0.4503, 0.6620).